# 1
DFT (PBE) results for an optimized crystal structure of Pm7Dy2Ho.

abc: 5.5638 9.4322 9.4322
angles: 124.53 90.00 90.00
Last column: nearest neighbours and their distance in Å.
Sites, in units of the cell vectors:
Pm  0.5000  0.2903  0.0670  2 Pm 3.14-3.38, 2 Dy 3.22-3.44
Pm  0.5000  0.7097  0.9330  2 Pm 3.14-3.38, 2 Dy 3.22-3.44
Pm  0.5000  0.9330  0.7097  2 Pm 3.14-3.38, 2 Dy 3.22-3.44
Pm  0.0000  0.7877  0.2123  2 Dy 3.10
Pm  0.5000  0.5000  0.5000  4 Pm 3.38, 2 Dy 3.43
Pm  0.5000  0.0670  0.2903  2 Pm 3.14-3.38, 2 Dy 3.22-3.44
Pm  0.0000  0.2123  0.7877  2 Dy 3.10
Dy  0.5000  0.2948  0.7052  7 Pm 3.10-3.44
Dy  0.5000  0.7052  0.2948  7 Pm 3.10-3.44
Ho  0.0000  0.0000  0.0000  10 Pm 3.54-3.70

Results
The value obtained for the polymorph energy (0 for the lowest one) is 2.602 eV per formula unit. The formation energy comes out at 0.65 eV per atom.

=====

# 2
DFT (PBE) results for an optimized crystal structure of NdErP2.

abc: 4.0182 4.0182 7.3087
angles: 74.04 74.04 60.00
Last column: nearest neighbours and their distance in Å.
Sites, in units of the cell vectors:
Nd  0.4974  0.4974  0.5077  6 P 2.92-2.99
P  0.2550  0.2550  0.2351  3 Er 2.86, 3 Nd 2.99
P  0.0787  0.0787  0.7639  3 Er 2.81, 3 Nd 2.92
Er  0.6689  0.6689  0.9934  6 P 2.81-2.86

Results
The value obtained for the polymorph energy (0 for the lowest one) is 0.596 eV per formula unit. The formation energy comes out at -1.42 eV per atom.

=====

# 3
DFT (PBE) results for an optimized crystal structure of K2ZnGaS.

abc: 5.9765 4.6480 5.9765
angles: 90.00 90.00 90.00
Last column: nearest neighbours and their distance in Å.
Sites, in units of the cell vectors:
K  0.0000  0.0000  0.5000  2 Zn 2.99
K  0.5000  0.0000  0.0000  2 Zn 2.99
S  0.5000  0.5000  0.5000  8 K 3.79, 4 Ga 4.23
Ga  0.0000  0.5000  0.0000  2 Zn 2.32
Zn  0.0000  0.0000  0.0000  2 Ga 2.32

Results
The uncorrected formation energy comes out at 0.048 eV/atom.

=====

# 4
DFT (PBE) results for an optimized crystal structure of Sm3SnPt.

abc: 4.6411 7.8058 8.5547
angles: 113.21 90.00 90.00
Last column: nearest neighbours and their distance in Å.
Sites, in units of the cell vectors:
Sn  0.7500  0.6730  0.7995  8 Sm 3.25-3.41
Sn  0.2500  0.3270  0.2005  8 Sm 3.25-3.41
Sm  0.2500  0.6696  0.0638  1 Pt 2.79
Sm  0.2500  0.3403  0.5945  3 Pt 3.01-3.11, 1 Sn 3.33
Sm  0.7500  0.6597  0.4055  3 Pt 3.01-3.11, 1 Sn 3.33
Sm  0.7500  0.3304  0.9362  1 Pt 2.79
Sm  0.2500  0.9504  0.7628  3 Pt 3.01-3.07, 2 Sn 3.27
Sm  0.7500  0.0496  0.2372  3 Pt 3.01-3.07, 2 Sn 3.27
Pt  0.7500  0.0763  0.5978  7 Sm 2.79-3.11, 2 Pt 2.83
Pt  0.2500  0.9237  0.4022  7 Sm 2.79-3.11, 2 Pt 2.83

Results
The formation energy comes out at -0.79 eV per atom.

=====

# 5
DFT (PBE) results for an optimized crystal structure of Na2TlHgCl8.

abc: 6.8235 6.8351 8.2622
angles: 86.63 94.83 107.87
Last column: nearest neighbours and their distance in Å.
Sites, in units of the cell vectors:
Tl  0.0000  0.0000  0.0000  4 Cl 2.56-2.57
Cl  0.6680  0.6883  0.5020  1 Hg 2.59, 2 Na 2.77-2.88, 1 Cl 2.87
Cl  0.0850  0.7455  0.2146  1 Tl 2.57, 1 Na 2.75
Cl  0.3690  0.2395  0.0480  1 Tl 2.56, 2 Na 2.76-2.79
Cl  0.1445  0.8417  0.7328  1 Hg 2.44
Cl  0.8555  0.1583  0.2672  1 Hg 2.44
Cl  0.6310  0.7605  0.9520  1 Tl 2.56, 2 Na 2.76-2.79
Cl  0.3320  0.3117  0.4980  1 Hg 2.59, 2 Na 2.77-2.88, 1 Cl 2.87
Cl  0.9150  0.2545  0.7854  1 Tl 2.57, 1 Na 2.75
Na  0.4140  0.5916  0.2202  5 Cl 2.75-2.88
Na  0.5860  0.4084  0.7798  5 Cl 2.75-2.88
Hg  0.0000  0.0000  0.5000  4 Cl 2.44-2.59

Results
The uncorrected formation energy comes out at -0.900 eV/atom.

=====

# 6
DFT (PBE) results for an optimized crystal structure of TaCr2Os.

abc: 4.2823 4.2823 4.2823
angles: 60.00 60.00 60.00
Last column: nearest neighbours and their distance in Å.
Sites, in units of the cell vectors:
Cr  0.7500  0.7500  0.7500  4 Ta 2.62, 4 Os 2.62
Cr  0.2500  0.2500  0.2500  4 Ta 2.62, 4 Os 2.62
Os  0.5000  0.5000  0.5000  8 Cr 2.62
Ta  0.0000  0.0000  0.0000  8 Cr 2.62

Results
The value obtained for the polymorph energy (0 for the lowest one) is 0.215 eV per formula unit. The formation energy comes out at 0.02 eV per atom.

=====

# 7
DFT (PBE) results for an optimized crystal structure of Pr4Y15Ho.

abc: 5.0943 5.0943 25.3636
angles: 90.00 90.00 90.00
Last column: nearest neighbours and their distance in Å.
Sites, in units of the cell vectors:
Pr  0.0000  0.0000  0.8009  12 Y 3.59-3.61
Pr  0.0000  0.0000  0.3994  12 Y 3.60
Pr  0.0000  0.0000  0.1991  12 Y 3.59-3.61
Pr  0.0000  0.0000  0.6006  12 Y 3.60
Y  0.0000  0.5000  0.0982  2 Ho 3.56, 8 Y 3.56-3.60, 2 Pr 3.61
Y  0.5000  0.0000  0.2990  4 Pr 3.59-3.60, 8 Y 3.60-3.61
Y  0.5000  0.0000  0.5000  8 Y 3.60, 4 Pr 3.60
Y  0.0000  0.5000  0.5000  8 Y 3.60, 4 Pr 3.60
Y  0.5000  0.0000  0.7010  4 Pr 3.59-3.60, 8 Y 3.60-3.61
Y  0.5000  0.5000  0.6005  4 Pr 3.60, 8 Y 3.60
Y  0.5000  0.0000  0.0982  8 Y 3.56-3.60, 2 Ho 3.56, 2 Pr 3.61
Y  0.0000  0.5000  0.7010  4 Pr 3.59-3.60, 8 Y 3.60-3.61
Y  0.5000  0.0000  0.9018  8 Y 3.56-3.60, 2 Ho 3.56, 2 Pr 3.61
Y  0.0000  0.5000  0.9018  2 Ho 3.56, 8 Y 3.56-3.60, 2 Pr 3.61
Y  0.5000  0.5000  0.1984  8 Y 3.60-3.61, 4 Pr 3.60
Y  0.5000  0.5000  0.3995  4 Pr 3.60, 8 Y 3.60
Y  0.0000  0.5000  0.2990  4 Pr 3.59-3.60, 8 Y 3.60-3.61
Y  0.5000  0.5000  0.8016  8 Y 3.60-3.61, 4 Pr 3.60
Y  0.5000  0.5000  0.0000  8 Y 3.56, 4 Ho 3.60
Ho  0.0000  0.0000  0.0000  12 Y 3.56-3.60

Results
The formation energy comes out at 0.02 eV per atom.

=====

# 8
DFT (PBE) results for an optimized crystal structure of SrLaTl2.

abc: 6.7253 6.7253 5.6971
angles: 71.57 71.57 33.23
Last column: nearest neighbours and their distance in Å.
Sites, in units of the cell vectors:
Sr  0.7352  0.7352  0.8025  7 Tl 3.39-3.68
Tl  0.2717  0.2717  0.2907  2 Tl 3.31, 4 Sr 3.39-3.54, 3 La 3.53-3.67
Tl  0.9773  0.9773  0.9630  2 Tl 3.31, 4 La 3.42-3.51, 3 Sr 3.53-3.68
La  0.5158  0.5158  0.4438  7 Tl 3.42-3.67, 1 Sr 3.81

Results
The formation energy comes out at -0.30 eV per atom.

=====

# 9
DFT (PBE) results for an optimized crystal structure of Tm2AlGa2.

abc: 4.0674 5.7023 5.7023
angles: 62.25 69.11 69.11
Last column: nearest neighbours and their distance in Å.
Sites, in units of the cell vectors:
Ga  0.5000  0.2796  0.7204  1 Ga 2.60, 2 Al 2.62
Ga  0.5000  0.7204  0.2796  1 Ga 2.60, 2 Al 2.62
Al  0.0000  0.0000  0.0000  4 Ga 2.62
Tm  0.2123  0.2877  0.2877  6 Ga 3.04-3.06, 2 Al 3.26
Tm  0.7877  0.7123  0.7123  6 Ga 3.04-3.06, 2 Al 3.26

Results
The value obtained for the polymorph energy (0 for the lowest one) is 0.318 eV per formula unit. The formation energy comes out at -0.55 eV per atom.

=====

# 10
DFT (PBE) results for an optimized crystal structure of TeSe2I.

abc: 5.2271 5.2271 5.2271
angles: 60.00 60.00 60.00
Last column: nearest neighbours and their distance in Å.
Sites, in units of the cell vectors:
Se  0.7500  0.7500  0.7500  4 I 3.20, 4 Te 3.20
Se  0.2500  0.2500  0.2500  4 Te 3.20, 4 I 3.20
Te  0.0000  0.0000  0.0000  8 Se 3.20
I  0.5000  0.5000  0.5000  8 Se 3.20

Results
The value obtained for the polymorph energy (0 for the lowest one) is 1.784 eV per formula unit. The uncorrected formation energy comes out at 0.526 eV/atom.

=====

# 11
DFT (PBE) results for an optimized crystal structure of ScPdPbAu.

abc: 4.8398 4.8398 4.8398
angles: 60.00 60.00 60.00
Last column: nearest neighbours and their distance in Å.
Sites, in units of the cell vectors:
Pd  0.5000  0.5000  0.5000  4 Pb 2.96, 4 Sc 2.96
Au  0.0000  0.0000  0.0000  4 Pb 2.96, 4 Sc 2.96
Pb  0.7500  0.7500  0.7500  4 Pd 2.96, 4 Au 2.96
Sc  0.2500  0.2500  0.2500  4 Au 2.96, 4 Pd 2.96

Results
The formation energy comes out at -0.52 eV per atom.

=====

# 12
DFT (PBE) results for an optimized crystal structure of CaZnSb.

abc: 4.4788 4.4788 4.4678
angles: 90.00 90.00 120.00
Last column: nearest neighbours and their distance in Å.
Sites, in units of the cell vectors:
Zn  0.3333  0.6667  0.5875  3 Sb 2.67
Sb  0.6667  0.3333  0.4378  3 Zn 2.67
Ca  0.0000  0.0000  0.9748  3 Zn 3.11, 3 Sb 3.31

Results
The uncorrected formation energy comes out at -0.539 eV/atom.